The following is a DFT calculation (PBE-GGA) of a relaxed structure of Zr2Sc.

Values from the calculation:
symmetry: Fd-3m, No. 227
ΔH_f (0 K): 5.82 kcal/mol of atoms
total moment: 0.54 μB per formula unit
electronic total energy: -7.555 eV/atom
crystal system: cubic

```
Zr2Sc
1.0
0.000 4.163 4.163
4.163 0.000 4.163
4.163 4.163 0.000
Sc Zr
2 4
direct
0.000 0.000 0.000
0.250 0.250 0.250
0.625 0.625 0.125
0.625 0.125 0.625
0.125 0.625 0.625
0.625 0.625 0.625
```